A relaxed structure of EuGdDyTl. Source: Alexandria via LeMat-Bulk, functional PBE.

Calculated values
Calculated total energy = -7.87 eV/atom
Total magnetization = 0.0485 μB per atom
Energy relative to the elements = -0.040 eV/atom

a = 7.833 Å, b = 7.833 Å, c = 7.833 Å
α = 90.00°, β = 90.00°, γ = 90.00°
Space group F-43m (No. 216)
Inequivalent atoms, fractional coordinates:
Eu1 0.000 0.000 0.000 x4
Gd1 0.250 0.250 0.250 x4
Dy1 0.250 0.250 0.750 x4
Tl1 0.000 0.000 0.500 x4